Entry 1:
A geometry-optimized NbFe2Ru structure. Source: the Alexandria database, functional PBE-GGA.

Cell: 4.282 4.282 4.282 Å, 60.00 60.00 60.00°
Element x y z (fractional)
Nb 0.000 0.000 0.000
Fe 0.250 0.250 0.250
Fe 0.750 0.750 0.750
Ru 0.500 0.500 0.500

Computed properties:
The calculation puts the total energy at -9.068 eV/atom. Its formation energy is 0 meV per atom. As for the total moment: 1.182 μB/atom. The calculation puts the mass density at 9.1 g/cm³. Its distance to the lowest polymorph of the same formula is 17 meV per atom.

Entry 2:
A geometry-optimized Nb2FeRu structure. Source: the Alexandria database, functional PBE-GGA.

Cell: 5.626 5.626 5.626 Å, 103.36 103.36 122.53°
Element x y z (fractional)
Nb 0.121 0.125 0.496
Nb 0.375 0.879 0.004
Nb 0.629 0.625 0.504
Nb 0.875 0.371 0.996
Fe 0.000 0.000 0.000
Fe 0.750 0.250 0.500
Ru 0.250 0.750 0.500
Ru 0.500 0.500 0.000

Computed properties:
The calculation puts the total energy at -9.053 eV/atom. Its formation energy is 417 meV per atom. As for the total moment: 0.483 μB/atom. The calculation puts the mass density at 8.6 g/cm³. Its distance to the lowest polymorph of the same formula is 562 meV per atom.

Entry 3:
A geometry-optimized NbFe4Ru structure. Source: the Alexandria database, functional PBE-GGA.

Cell: 4.749 4.749 4.749 Å, 60.00 60.00 60.00°
Element x y z (fractional)
Nb 0.000 0.000 0.000
Fe 0.375 0.375 0.375
Fe 0.375 0.375 0.874
Fe 0.375 0.874 0.375
Fe 0.874 0.375 0.375
Ru 0.750 0.750 0.750

Computed properties:
The calculation puts the total energy at -8.937 eV/atom. Its formation energy is -71 meV per atom. As for the total moment: 1.154 μB/atom. The calculation puts the mass density at 9.1 g/cm³.

Entry 4:
A geometry-optimized Nb2FeRu structure. Source: the Alexandria database, functional PBE-GGA.

Cell: 3.111 3.111 6.373 Å, 90.00 90.00 90.00°
Element x y z (fractional)
Nb 0.000 0.000 0.238
Nb 0.000 0.000 0.762
Fe 0.500 0.500 0.000
Ru 0.500 0.500 0.500

Computed properties:
The calculation puts the total energy at -9.615 eV/atom. Its formation energy is -146 meV per atom. As for the total moment: 0.353 μB/atom. The calculation puts the mass density at 9.2 g/cm³. Its distance to the lowest polymorph of the same formula is 0 meV per atom.

What is the total moment in the fourth record?
0.353 μB/atom